VASP calculation (PBE) on a relaxed structure of Cs2ZrSiBr6.

magnetic moment	0.200	μB/atom
total DFT energy (no corrections)	-3.665	eV per atom
space-group type	No. 139

Cell: 7.7702 7.7702 8.3138 Å, 62.14 62.14 90.00°
Site moments in Bohr magnetons follow the coordinates.
Element x y z (fractional)
Cs1 0.2500 0.7500 0.5000  0.00
Br1 0.2496 0.2496 0.0000  0.01
Br2 0.7504 0.2496 0.0000  0.01
Br3 0.7504 0.7504 0.0000  0.01
Br4 0.7838 0.7838 0.4324  0.01
Si1 0.5000 0.5000 0.0000  0.26
Br5 0.2496 0.7504 0.0000  0.01
Cs2 0.7500 0.2500 0.5000  0.00
Zr1 0.0000 0.0000 0.0000  0.76
Br6 0.2162 0.2162 0.5676  0.01